Compound: UGe2Pd
Source: the Alexandria database
Functional: PBE
Structure: relaxed

The calculation puts the formation energy at -0.274 eV per atom.

The space group is P4/mmm (No. 123) and the conventional cell measures 5.0018, 5.0018 and 2.8931 Å, with angles of 90.00, 90.00 and 90.00 degrees. The inequivalent atoms are U at (0.0000, 0.0000, 0.0000), Ge at (0.0000, 0.5000, 0.5000) and Pd at (0.5000, 0.5000, 0.0000).